VASP calculation (GGA-PBE) on a relaxed structure of CuAgW2.

The structure in POSCAR format:
```
CuAgW2
1.0
4.8605 -1.4422 0.0000
4.8605 1.4422 0.0000
-0.8971 0.0000 4.4616
Cu Ag W
1 1 2
Cartesian
0.0000 0.0000 0.0000
4.4120 0.0000 2.2308
1.7979 0.0000 3.3764
7.0260 0.0000 1.0852
```

Values from the calculation:
The calculation puts the formation energy at 527 meV/atom. Its energy above the most stable polymorph in this dataset is 225 meV/atom.



VASP calculation (GGA-PBE) on a relaxed structure of Cu2AgW.

The structure in POSCAR format:
```
Cu2AgW
1.0
4.3715 -1.3240 0.0000
4.3715 1.3240 0.0000
-0.6371 0.0000 5.1312
Cu Ag W
2 1 1
Cartesian
2.0267 0.0000 1.1624
6.0792 0.0000 3.9688
-0.3185 0.0000 2.5656
4.3715 0.0000 0.0000
```

Values from the calculation:
The calculation puts the formation energy at 482 meV/atom. Its energy above the most stable polymorph in this dataset is 220 meV/atom.



VASP calculation (GGA-PBE) on a relaxed structure of CuAgW2.

The structure in POSCAR format:
```
CuAgW2
1.0
1.6226 -2.0990 0.0000
1.6226 2.0990 0.0000
0.0000 0.0000 9.1402
Cu Ag W
1 1 2
Cartesian
0.0000 0.0000 0.0000
0.0000 0.0000 4.5701
1.6226 0.0000 2.1383
1.6226 0.0000 7.0019
```

Values from the calculation:
The calculation puts the formation energy at 539 meV/atom. Its energy above the most stable polymorph in this dataset is 237 meV/atom.